(1)
## EuZn5 (SCAN)

Data for a crystal of EuZn5 relaxed with PBEsol.

Computed properties:
crystal system: hexagonal
mass density: 7.78 g/cm³
SG: P6/mmm (191)
N(E_F): 7.75 states/eV/cell
spin magnetization: 7.0 μB/f.u.
E: -20.522 eV/atom

Structure (extended XYZ):
```
6
Lattice="4.1891 0.0000 0.0000 0.0000 5.3075 0.0000 0.0000 -2.6537 4.5964" Properties=species:S:1:pos:R:3 pbc="T T T"
Zn 0.0000 2.6537 1.5321
Zn 0.0000 0.0000 3.0643
Zn 2.0946 1.3269 2.2982
Zn 2.0946 2.6537 0.0000
Zn 2.0946 -1.3269 2.2982
Eu 0.0000 0.0000 0.0000
```

(2)
## F (SCAN)

Data for a crystal of F relaxed with PBEsol.

Computed properties:
crystal system: trigonal
mass density: 2.51 g/cm³
SG: P3_121 (152)
N(E_F): 0.00 states/eV/cell
spin magnetization: 1.0 μB/f.u.
E: -3.115 eV/atom

Structure (extended XYZ):
```
3
Lattice="-3.1918 -1.0695 0.4965 1.3168 0.0264 -3.1374 1.2523 -3.5071 0.4962" Properties=species:S:1:pos:R:3 pbc="T T T"
F 2.0424 -2.9026 -1.9663
F -1.7948 -2.5648 0.6247
F -0.2441 -0.8365 -0.5551
```

(3)
## F (SCAN)

Data for a crystal of F relaxed with PBEsol.

Computed properties:
crystal system: monoclinic
mass density: 2.46 g/cm³
SG: C2/c (15)
N(E_F): 1.53 states/eV/cell
spin magnetization: 0.0 μB/f.u.
E: -3.191 eV/atom

Structure (extended XYZ):
```
4
Lattice="-1.7539 1.6124 -2.1559 -2.9032 1.0907 0.8399 1.1017 5.6172 1.4009" Properties=species:S:1:pos:R:3 pbc="T T T"
F -1.0023 1.8802 0.0374
F -0.3898 4.7167 0.5773
F -2.5532 6.4401 0.0474
F -3.1656 3.6036 -0.4924
```

(4)
## F (SCAN)

Data for a crystal of F relaxed with PBEsol.

Computed properties:
crystal system: triclinic
mass density: 2.50 g/cm³
SG: P-1 (2)
N(E_F): 0.14 states/eV/cell
spin magnetization: 1.0 μB/f.u.
E: -3.087 eV/atom

Structure (extended XYZ):
```
4
Lattice="2.8041 0.0258 -0.0043 -0.1131 3.2548 0.0190 -0.2437 -0.2374 5.5252" Properties=species:S:1:pos:R:3 pbc="T T T"
F 2.0263 0.2268 1.6947
F 1.8348 1.6972 4.4662
F 0.4210 2.8163 3.8451
F 0.6126 1.3459 1.0737
```

E of number 2 (F)? -3.115 eV/atom

What is the formula in the first record? EuZn5

Which formula does entry 1 have? EuZn5

Look up the spin magnetization of the second one. 1.0 μB/f.u.